SbWF2: relaxed, PBE with a Hubbard U.

Values from the calculation:
Raw total energy = -4.704 eV per atom
Offset from the most stable computed form = 0 meV per atom
Space group = No. 166

abc: 11.084 11.084 11.084
angles: 15.88 15.88 15.88
Atoms (fractional coordinates):
Sb: 0.500 0.500 0.500
F: 0.057 0.057 0.057
F: 0.943 0.943 0.943
W: 0.000 0.000 0.000